(1)
Material: ScH6Pd3
Method: DFT, PBE
State: optimized geometry

It has space group P1 (No. 1), with a = 4.818 Å, b = 4.836 Å, c = 5.161 Å, α = 62.08°, β = 62.37° and γ = 60.13°. The distinct sites, in fractional coordinates, are Sc at (0.000, 0.000, 0.000), H at (0.010, 0.483, 0.952), H at (0.185, 0.825, 0.430), H at (0.483, 0.558, 0.950), H at (0.557, 0.009, 0.951), H at (0.559, 0.186, 0.430), H at (0.824, 0.562, 0.431), Pd at (0.216, 0.221, 0.342), Pd at (0.439, 0.439, 0.682) and Pd at (0.773, 0.776, 0.677).

The calculation puts the theoretical density at 7.00 Mg/m³. For the total energy, the calculation gives -4.457 eV per atom.

---

(2)
Material: As2Se
Method: DFT, PBE
State: optimized geometry

It has space group I4/mmm (No. 139), with a = 3.770 Å, b = 3.770 Å, c = 9.345 Å, α = 90.00°, β = 90.00° and γ = 90.00°. The distinct sites, in fractional coordinates, are As at (0.000, 0.000, 0.217) and Se at (0.000, 0.000, 0.500).

The calculation puts the theoretical density at 5.72 Mg/m³. For the total energy, the calculation gives -3.898 eV per atom.

---

(3)
Material: Ac2LaPb9
Method: DFT, PBE
State: optimized geometry

It has space group P4/mmm (No. 123), with a = 5.034 Å, b = 5.034 Å, c = 15.066 Å, α = 90.00°, β = 90.00° and γ = 90.00°. The distinct sites, in fractional coordinates, are Ac at (0.000, 0.000, 0.170), La at (0.000, 0.000, 0.500), Pb at (0.000, 0.500, 0.000), Pb at (0.000, 0.500, 0.338), Pb at (0.500, 0.500, 0.169) and Pb at (0.500, 0.500, 0.500).

The calculation puts the theoretical density at 10.69 Mg/m³. For the total energy, the calculation gives -4.298 eV per atom.

---

(4)
Material: RuSeN2Cl
Method: DFT, PBE
State: optimized geometry

It has space group P4/mmm (No. 123), with a = 3.781 Å, b = 3.781 Å, c = 4.777 Å, α = 90.00°, β = 90.00° and γ = 90.00°. The distinct sites, in fractional coordinates, are Ru at (0.000, 0.000, 0.000), Se at (0.500, 0.500, 0.000), N at (0.000, 0.500, 0.500) and Cl at (0.500, 0.500, 0.500).

The calculation puts the theoretical density at 5.92 Mg/m³. For the total energy, the calculation gives -3.775 eV per atom.

---

(5)
Material: Sr3ScGa
Method: DFT, PBE
State: optimized geometry

It has space group Pm-3m (No. 221), with a = 6.115 Å, b = 6.115 Å, c = 6.115 Å, α = 90.00°, β = 90.00° and γ = 90.00°. The distinct sites, in fractional coordinates, are Sr at (0.000, 0.000, 0.500), Sc at (0.500, 0.500, 0.500) and Ga at (0.000, 0.000, 0.000).

The calculation puts the theoretical density at 2.74 Mg/m³. For the total energy, the calculation gives -2.588 eV per atom.

---

(6)
Material: SmTmTaN3
Method: DFT, PBE
State: optimized geometry

It has space group P2_1/m (No. 11), with a = 7.211 Å, b = 3.402 Å, c = 7.989 Å, α = 90.00°, β = 92.11° and γ = 90.00°. The distinct sites, in fractional coordinates, are Sm at (0.152, 0.250, 0.165), Tm at (0.387, 0.750, 0.854), Ta at (0.128, 0.250, 0.579), N at (0.138, 0.250, 0.834), N at (0.176, 0.750, 0.448) and N at (0.390, 0.750, 0.125).

The calculation puts the theoretical density at 9.20 Mg/m³. For the total energy, the calculation gives -8.804 eV per atom.

---

Computed calculated volume (Å³ per cell) in order:
87.87, 132.84, 381.74, 68.28, 228.69, 195.85